Compound: KBr4
Source: Alexandria via LeMat-Bulk
Functional: PBE
Structure: relaxed

The structure belongs to space group Pm-3m (No. 221); the cell edges are 6.2897, 6.2897 and 6.2897 Å and the angles 90.00°, 90.00° and 90.00°. The asymmetric unit holds K at (0.0000, 0.0000, 0.0000), Br at (0.0000, 0.0000, 0.5000) and Br at (0.5000, 0.5000, 0.5000).

The calculation puts the energy above the most stable polymorph in this dataset at 3.521 eV/f.u. As for the uncorrected energy: -1.561 eV/atom. The calculation puts the density of states at the Fermi level at 2.6250 states/eV/atom.